one | Compound: Tb3AgHg
Source: Alexandria
Functional: PBE-GGA
Structure: optimized geometry

Calculated values
- Total magnetization: 0.00 μB per cell

Cell: 8.421 3.642 9.640 Å, 90.00 109.44 90.00°
Space group Pm (No. 6)
Inequivalent atoms, fractional coordinates:
Tb 0.000 0.000 0.000 [1 per cell]
Tb 0.010 0.000 0.378 [1 per cell]
Tb 0.391 0.500 0.955 [1 per cell]
Tb 0.447 0.000 0.606 [1 per cell]
Tb 0.562 0.000 0.295 [1 per cell]
Tb 0.823 0.500 0.606 [1 per cell]
Ag 0.686 0.500 0.848 [1 per cell]
Ag 0.776 0.500 0.157 [1 per cell]
Hg 0.144 0.000 0.725 [1 per cell]
Hg 0.248 0.500 0.258 [1 per cell]

=====

two | Compound: Tb3AgHg
Source: Alexandria
Functional: PBE-GGA
Structure: optimized geometry

Calculated values
- Total magnetization: 0.00 μB per cell

Cell: 5.212 19.690 5.212 Å, 90.00 90.00 90.00°
Space group Cmcm (No. 63)
Inequivalent atoms, fractional coordinates:
Tb 0.000 0.063 0.250 [4 per cell]
Tb 0.000 0.250 0.250 [4 per cell]
Tb 0.000 0.436 0.250 [4 per cell]
Ag 0.000 0.343 0.750 [4 per cell]
Hg 0.000 0.155 0.750 [4 per cell]

=====

Structures ranked by computed energy, the most stable listed first: two, one.